Here is an optimized crystal structure of Cd2Ag2RuO6 from Alexandria via LeMat-Bulk. Energies are from PBE.

a = 5.6081 Å, b = 5.6081 Å, c = 6.2124 Å
α = 103.73°, β = 103.73°, γ = 115.97°
Sites, in units of the cell vectors:
Cd (0.1568, 0.8432, 0.0000)
Cd (0.8432, 0.1568, 0.0000)
Ag (0.1948, 0.8052, 0.5000)
Ag (0.8052, 0.1948, 0.5000)
Ru (0.5000, 0.5000, 0.0000)
O (0.1349, 0.1349, 0.7749)
O (0.2837, 0.5774, 0.1855)
O (0.4226, 0.7163, 0.8145)
O (0.5774, 0.2837, 0.1855)
O (0.7163, 0.4226, 0.8145)
O (0.8651, 0.8651, 0.2251)

Summary:
Uncorrected formation energy: -0.554 eV/atom